Entry 1:
An optimized crystal structure of ZnC2, computed with PBE.

a = 2.487 Å, b = 2.487 Å, c = 16.711 Å
α = 90.00°, β = 90.00°, γ = 120.00°
Positions (direct):
Zn 0.333 0.667 0.250
Zn 0.667 0.333 0.750
C 0.333 0.667 0.000
C 0.333 0.667 0.500
C 0.667 0.333 0.000
C 0.667 0.333 0.500

Output
The crystal system is hexagonal.

***

Entry 2:
An optimized crystal structure of Zn2C, computed with PBE.

a = 5.297 Å, b = 5.297 Å, c = 5.297 Å
α = 150.29°, β = 150.29°, γ = 42.51°
Positions (direct):
Zn 0.139 0.139 0.000
Zn 0.861 0.861 0.000
C 0.500 0.500 0.000

Output
The crystal system is tetragonal.

***

Entry 3:
An optimized crystal structure of ZnC, computed with PBE.

a = 4.996 Å, b = 2.771 Å, c = 3.274 Å
α = 90.00°, β = 90.00°, γ = 90.00°
Positions (direct):
Zn 0.250 0.000 0.170
Zn 0.750 0.000 0.830
C 0.250 0.500 0.657
C 0.750 0.500 0.343

Output
The crystal system is orthorhombic.

***

no.,ΔE_f (eV per formula unit),total moment (μB per atom)
1,0.390,0.0000
2,3.765,0.0000
3,3.605,0.0000